# 1
Here is an optimized crystal structure of PuZnPb2O8 from Alexandria. Energies are from GGA-PBE.

Output
Formation energy (no corrections) ... -17.26 eV per formula unit
Symmetry ... C2/m, No. 12

abc: 5.1609 5.1577 6.5931
angles: 87.18 92.81 92.33
Positions (direct):
O: 0.2977 0.2972 0.5001
O: 0.7023 0.7028 0.4999
O: 0.1703 0.8292 0.7486
O: 0.8107 0.1899 0.7962
O: 0.8297 0.1708 0.2514
O: 0.6935 0.6942 0.0000
O: 0.3065 0.3058 0.0000
O: 0.1893 0.8101 0.2038
Pb: 0.4642 0.5358 0.7403
Pb: 0.5358 0.4642 0.2597
Pu: 0.0000 0.0000 0.0000
Zn: 0.0000 0.0000 0.5000

# 2
Here is an optimized crystal structure of InSe2NF from Alexandria. Energies are from GGA-PBE.

Output
Formation energy (no corrections) ... 4.54 eV per formula unit
E above lowest polymorph ... 0.000 eV/atom
Symmetry ... P4/mmm, No. 123

abc: 5.5020 5.5020 4.1889
angles: 90.00 90.00 90.00
Positions (direct):
Se: 0.0000 0.5000 0.0000
Se: 0.5000 0.0000 0.0000
In: 0.0000 0.0000 0.0000
F: 0.5000 0.5000 0.5000
N: 0.0000 0.0000 0.5000

# 3
Here is an optimized crystal structure of Na3ErF8 from Alexandria. Energies are from GGA-PBE.

Output
Formation energy (no corrections) ... -32.66 eV per formula unit
Symmetry ... I4/mmm, No. 139

abc: 5.4012 5.4012 6.8394
angles: 113.26 113.26 90.00
Positions (direct):
Er: 0.0000 0.0000 0.0000
F: 0.1195 0.6444 0.7638
F: 0.6444 0.6444 0.7638
F: 0.3556 0.8805 0.2362
F: 0.8805 0.8805 0.2362
F: 0.6444 0.1195 0.7638
F: 0.8805 0.3556 0.2362
F: 0.1195 0.1195 0.7638
F: 0.3556 0.3556 0.2362
Na: 0.2500 0.7500 0.5000
Na: 0.7500 0.2500 0.5000
Na: 0.5000 0.5000 0.0000

# 4
Here is an optimized crystal structure of V2RuW2 from Alexandria. Energies are from GGA-PBE.

Output
Symmetry ... Cmcm, No. 63
DFT formation energy ... -9.0 kJ/mol of atoms

abc: 4.3640 4.3488 8.0199
angles: 90.00 105.79 90.00
Positions (direct):
V: 0.2504 0.7500 0.5009
V: 0.7496 0.2500 0.4991
V: 0.8480 0.7500 0.6959
V: 0.1520 0.2500 0.3041
W: 0.4464 0.7500 0.8927
W: 0.0526 0.7500 0.1051
W: 0.5536 0.2500 0.1073
W: 0.9474 0.2500 0.8949
Ru: 0.6576 0.7500 0.3153
Ru: 0.3424 0.2500 0.6847

# 5
Here is an optimized crystal structure of ZnIrAu2 from Alexandria. Energies are from GGA-PBE.

Output
Symmetry ... Cmm2, No. 35
DFT formation energy ... 7.0 kJ/mol of atoms

abc: 2.8169 2.8169 9.2893
angles: 90.00 90.00 117.42
Positions (direct):
Au: 0.5000 0.5000 0.2572
Au: 0.0000 0.0000 0.9830
Ir: 0.0000 0.0000 0.5185
Zn: 0.5000 0.5000 0.7413

# 6
Here is an optimized crystal structure of LiMnPd3 from Alexandria. Energies are from GGA-PBE.

Output
E above lowest polymorph ... 0.000 eV/atom
Symmetry ... Cmc2_1, No. 36
DFT formation energy ... -25.6 kJ/mol of atoms

abc: 5.3716 6.8830 4.1512
angles: 107.59 90.00 90.00
Positions (direct):
Mn: 0.1390 0.1965 0.5982
Mn: 0.6390 0.8035 0.4018
Li: 0.9221 0.6068 0.8036
Li: 0.4221 0.3932 0.1964
Pd: 0.4197 0.5952 0.7977
Pd: 0.3765 0.0105 0.0052
Pd: 0.9198 0.4048 0.2023
Pd: 0.6425 0.2137 0.6067
Pd: 0.1425 0.7863 0.3933
Pd: 0.8765 0.9895 0.9948

# 7
Here is an optimized crystal structure of PuGaSb from Alexandria. Energies are from GGA-PBE.

Output
Formation energy (no corrections) ... -0.21 eV per formula unit
E above lowest polymorph ... 0.294 eV/atom
Symmetry ... Cmcm, No. 63

abc: 3.7100 5.0533 7.0404
angles: 68.99 90.00 90.00
Positions (direct):
Ga: 0.2500 0.9292 0.1421
Ga: 0.7500 0.0708 0.8579
Sb: 0.7500 0.7568 0.4864
Sb: 0.2500 0.2432 0.5136
Pu: 0.7500 0.4442 0.1118
Pu: 0.2500 0.5558 0.8882

# 8
Here is an optimized crystal structure of Na2CdAg2 from Alexandria. Energies are from GGA-PBE.

Output
E above lowest polymorph ... 0.032 eV/atom
Symmetry ... P4/mbm, No. 127
DFT formation energy ... -2.5 kJ/mol of atoms

abc: 7.3750 7.3750 4.4493
angles: 90.00 90.00 90.00
Positions (direct):
Cd: 0.0000 0.0000 0.0000
Cd: 0.5000 0.5000 0.0000
Na: 0.1678 0.6678 0.5000
Na: 0.3322 0.1678 0.5000
Na: 0.8322 0.3322 0.5000
Na: 0.6678 0.8322 0.5000
Ag: 0.1347 0.3653 0.0000
Ag: 0.6347 0.1347 0.0000
Ag: 0.3653 0.8653 0.0000
Ag: 0.8653 0.6347 0.0000

# 9
Here is an optimized crystal structure of YNiIr3 from Alexandria. Energies are from GGA-PBE.

Output
E above lowest polymorph ... 0.000 eV/atom
Symmetry ... Pm-3m, No. 221
DFT formation energy ... 51.9 kJ/mol of atoms

abc: 4.5394 4.5394 4.5394
angles: 90.00 90.00 90.00
Positions (direct):
Ir: 0.0000 0.0000 0.5000
Ir: 0.5000 0.0000 0.0000
Ir: 0.0000 0.5000 0.0000
Y: 0.5000 0.5000 0.5000
Ni: 0.0000 0.0000 0.0000

# 10
Here is an optimized crystal structure of Re2TcAs8 from Alexandria. Energies are from GGA-PBE.

Output
Symmetry ... C2/m, No. 12
DFT formation energy ... 24.3 kJ/mol of atoms

abc: 5.3085 6.2987 7.4809
angles: 97.88 89.97 114.94
Positions (direct):
As: 0.8921 0.7830 0.2597
As: 0.3369 0.6733 0.5234
As: 0.9070 0.3380 0.1512
As: 0.6631 0.3267 0.4766
As: 0.4319 0.3373 0.1504
As: 0.0930 0.6620 0.8488
As: 0.5681 0.6627 0.8496
As: 0.1079 0.2170 0.7403
Tc: 0.0000 0.0000 0.0000
Re: 0.1118 0.2226 0.4148
Re: 0.8882 0.7774 0.5852

# 11
Here is an optimized crystal structure of Ac4Cu3Hg from Alexandria. Energies are from GGA-PBE.

Output
Symmetry ... Pmm2, No. 25
DFT formation energy ... -19.0 kJ/mol of atoms

abc: 4.2211 4.8032 11.6670
angles: 90.00 90.00 90.00
Positions (direct):
Cu: 0.0000 0.0000 0.4390
Cu: 0.5000 0.0000 0.9229
Cu: 0.0000 0.5000 0.5656
Hg: 0.5000 0.5000 0.0695
Ac: 0.5000 0.0000 0.6388
Ac: 0.5000 0.5000 0.3701
Ac: 0.0000 0.0000 0.1488
Ac: 0.0000 0.5000 0.8453

# 12
Here is an optimized crystal structure of CoCuTc2S from Alexandria. Energies are from GGA-PBE.

Output
Formation energy (no corrections) ... 8.50 eV per formula unit
Symmetry ... P4/mmm, No. 123

abc: 4.6070 4.2780 4.6070
angles: 90.00 90.00 90.00
Positions (direct):
Cu: 0.0000 0.0000 0.0000
Co: 0.0000 0.5000 0.0000
Tc: 0.5000 0.0000 0.0000
Tc: 0.0000 0.0000 0.5000
S: 0.5000 0.5000 0.5000

# 13
Here is an optimized crystal structure of TaCr2Hg from Alexandria. Energies are from GGA-PBE.

Output
Symmetry ... Cm, No. 8
DFT formation energy ... 39.5 kJ/mol of atoms

abc: 5.1628 5.1628 4.4247
angles: 64.70 64.70 35.85
Positions (direct):
Cr: 0.0243 0.0243 0.9759
Cr: 0.7230 0.7230 0.7766
Ta: 0.2653 0.2653 0.2345
Hg: 0.4874 0.4874 0.5129

# 14
Here is an optimized crystal structure of GaAgPd5 from Alexandria. Energies are from GGA-PBE.

Output
E above lowest polymorph ... 0.000 eV/atom
Symmetry ... P4/mmm, No. 123
DFT formation energy ... -20.4 kJ/mol of atoms

abc: 4.0383 4.0383 7.0254
angles: 90.00 90.00 90.00
Positions (direct):
Pd: 0.0000 0.5000 0.2144
Pd: 0.5000 0.0000 0.7856
Pd: 0.5000 0.0000 0.2144
Pd: 0.5000 0.5000 0.5000
Pd: 0.0000 0.5000 0.7856
Ag: 0.0000 0.0000 0.5000
Ga: 0.5000 0.5000 0.0000

# 15
Here is an optimized crystal structure of Si2AsOs from Alexandria. Energies are from GGA-PBE.

Output
Formation energy (no corrections) ... 1.83 eV per formula unit
Symmetry ... Cmm2, No. 35

abc: 2.8297 2.8297 9.2088
angles: 90.00 90.00 119.43
Positions (direct):
Si: 0.5000 0.5000 0.2151
Si: 0.0000 0.0000 0.9832
As: 0.0000 0.0000 0.5317
Os: 0.5000 0.5000 0.7700

# 16
Here is an optimized crystal structure of SmScAlIn from Alexandria. Energies are from GGA-PBE.

Output
Symmetry ... F-43m, No. 216
DFT formation energy ... -37.2 kJ/mol of atoms

abc: 5.1292 5.1292 5.1292
angles: 60.00 60.00 60.00
Positions (direct):
Sm: 0.5000 0.5000 0.5000
Sc: 0.0000 0.0000 0.0000
In: 0.7500 0.7500 0.7500
Al: 0.2500 0.2500 0.2500

# 17
Here is an optimized crystal structure of LiZrPd4 from Alexandria. Energies are from GGA-PBE.

Output
E above lowest polymorph ... 0.000 eV/atom
Symmetry ... Cmcm, No. 63
DFT formation energy ... -57.0 kJ/mol of atoms

abc: 4.2015 7.2648 12.4757
angles: 90.00 90.00 90.00
Positions (direct):
Pd: 0.7500 0.0087 0.9029
Pd: 0.7500 0.4914 0.9029
Pd: 0.2500 0.4913 0.4029
Pd: 0.7500 0.0000 0.2500
Pd: 0.2500 0.5086 0.0971
Pd: 0.7500 0.2500 0.0809
Pd: 0.7500 0.5000 0.2500
Pd: 0.2500 0.0086 0.4029
Pd: 0.7500 0.5087 0.5971
Pd: 0.7500 0.7500 0.4191
Pd: 0.2500 0.0000 0.7500
Pd: 0.2500 0.7500 0.9191
Pd: 0.2500 0.9913 0.0971
Pd: 0.2500 0.5000 0.7500
Pd: 0.7500 0.9914 0.5971
Pd: 0.2500 0.2500 0.5809
Li: 0.7500 0.7500 0.7614
Li: 0.2500 0.7500 0.2614
Li: 0.7500 0.2500 0.7386
Li: 0.2500 0.2500 0.2386
Zr: 0.2500 0.7500 0.5695
Zr: 0.7500 0.7500 0.0695
Zr: 0.2500 0.2500 0.9305
Zr: 0.7500 0.2500 0.4305

# 18
Here is an optimized crystal structure of RbNa2Al2 from Alexandria. Energies are from GGA-PBE.

Output
E above lowest polymorph ... 0.049 eV/atom
Symmetry ... I4/mmm, No. 139
DFT formation energy ... 29.0 kJ/mol of atoms

abc: 5.7815 5.7815 6.6696
angles: 64.32 64.32 90.00
Positions (direct):
Rb: 0.0000 0.0000 0.0000
Al: 0.3798 0.3798 0.2405
Al: 0.6202 0.6202 0.7595
Na: 0.7500 0.2500 0.5000
Na: 0.2500 0.7500 0.5000

# 19
Here is an optimized crystal structure of La3Tl2Sn3Ru from Alexandria. Energies are from GGA-PBE.

Output
Symmetry ... P-62m, No. 189
DFT formation energy ... -49.6 kJ/mol of atoms

abc: 4.5562 7.9236 7.9236
angles: 120.00 90.00 90.00
Positions (direct):
Sn: 0.5000 0.2283 0.2283
Sn: 0.5000 0.7717 0.0000
Sn: 0.5000 0.0000 0.7717
La: 0.0000 0.3822 0.0000
La: 0.0000 0.0000 0.3822
La: 0.0000 0.6178 0.6178
Tl: 0.5000 0.6667 0.3333
Tl: 0.5000 0.3333 0.6667
Ru: 0.0000 0.0000 0.0000

# 20
Here is an optimized crystal structure of SrHf2Rh from Alexandria. Energies are from GGA-PBE.

Output
E above lowest polymorph ... 0.297 eV/atom
Symmetry ... I-42d, No. 122
DFT formation energy ... 61.4 kJ/mol of atoms

abc: 5.5500 5.5500 9.5197
angles: 73.05 73.05 90.00
Positions (direct):
Hf: 0.3750 0.1177 0.7500
Hf: 0.8750 0.1323 0.7500
Hf: 0.8677 0.6250 0.2500
Hf: 0.8823 0.1250 0.2500
Rh: 0.7500 0.2500 0.5000
Rh: 0.0000 0.0000 0.0000
Sr: 0.5000 0.5000 0.0000
Sr: 0.2500 0.7500 0.5000